1.
Below is crystalline SiSbPb2 at its relaxed geometry, with properties calculated at the PBE-GGA level.

Cell lengths 6.2040, 6.2040, 5.4649 Å; angles 115.80, 115.80, 36.05 degrees
Last column: nearest neighbours and their distance in Å.
Fractional positions:
Si 0.0000 0.0000 0.0000  2 Sb 2.69
Sb 0.6799 0.6799 0.1980  2 Si 2.69
Pb 0.2712 0.2712 0.7952  2 Si 3.08, 2 Sb 3.44
Pb 0.4856 0.4856 0.4988  4 Si 3.28-3.40, 2 Sb 3.38-3.44, 4 Pb 3.50-3.57

Results
formation energy from raw total energies = 0.96 eV/f.u.
crystal system = monoclinic
symmetry = Cm, No. 8
E_tot = -16.00 eV/cell
distance to the lowest polymorph of the same formula = 41 meV per atom

2.
Below is crystalline SiSbPb2 at its relaxed geometry, with properties calculated at the PBE-GGA level.

Cell lengths 3.3590, 4.8679, 6.7355 Å; angles 90.00, 96.03, 90.00 degrees
Last column: nearest neighbours and their distance in Å.
Fractional positions:
Si 0.0000 0.0000 0.0000  4 Pb 3.08, 2 Si 3.36, 2 Sb 3.37
Sb 0.0000 0.0000 0.5000  8 Pb 3.34-3.59, 2 Sb 3.36, 2 Si 3.37
Pb 0.3663 0.5000 0.2313  2 Si 3.08, 3 Pb 3.33-3.36, 2 Sb 3.34
Pb 0.6337 0.5000 0.7687  2 Si 3.08, 3 Pb 3.33-3.36, 2 Sb 3.34

Results
formation energy from raw total energies = 1.42 eV/f.u.
crystal system = monoclinic
symmetry = P2/m, No. 10
E_tot = -15.54 eV/cell
distance to the lowest polymorph of the same formula = 156 meV per atom

3.
Below is crystalline SiSbPb2 at its relaxed geometry, with properties calculated at the PBE-GGA level.

Cell lengths 8.1598, 8.1598, 8.1598 Å; angles 131.63, 131.63, 70.82 degrees
Last column: nearest neighbours and their distance in Å.
Fractional positions:
Si 0.0000 0.0000 0.0000  4 Pb 2.77
Si 0.7500 0.2500 0.5000  4 Pb 2.77
Sb 0.2500 0.7500 0.5000  4 Pb 3.02
Sb 0.5000 0.5000 0.0000  4 Pb 3.02
Pb 0.0924 0.6250 0.9674  2 Si 2.77, 2 Sb 3.02
Pb 0.3750 0.3424 0.4674  2 Si 2.77, 2 Sb 3.02
Pb 0.6576 0.1250 0.0326  2 Si 2.77, 2 Sb 3.02
Pb 0.8750 0.9076 0.5326  2 Si 2.77, 2 Sb 3.02

Results
formation energy from raw total energies = 1.45 eV/f.u.
crystal system = tetragonal
symmetry = I-42d, No. 122
E_tot = -31.03 eV/cell
distance to the lowest polymorph of the same formula = 163 meV per atom

4.
Below is crystalline SiSb2Pb at its relaxed geometry, with properties calculated at the PBE-GGA level.

Cell lengths 6.4836, 6.4836, 5.0398 Å; angles 110.37, 110.37, 33.91 degrees
Last column: nearest neighbours and their distance in Å.
Fractional positions:
Si 0.0000 0.0000 0.0000  4 Sb 2.72-2.83
Sb 0.3376 0.3376 0.6626  2 Si 2.83, 1 Sb 3.02
Sb 0.5233 0.5233 0.4058  2 Si 2.72, 1 Sb 3.02
Pb 0.7133 0.7133 0.0497  2 Si 3.19, 6 Sb 3.24-3.47

Results
formation energy from raw total energies = 1.03 eV/f.u.
crystal system = monoclinic
symmetry = Cm, No. 8
E_tot = -16.34 eV/cell
distance to the lowest polymorph of the same formula = 70 meV per atom

5.
Below is crystalline SiSb2Pb at its relaxed geometry, with properties calculated at the PBE-GGA level.

Cell lengths 5.2563, 5.2563, 5.2563 Å; angles 60.00, 60.00, 60.00 degrees
Last column: nearest neighbours and their distance in Å.
Fractional positions:
Si 0.0000 0.0000 0.0000  4 Pb 3.22, 4 Sb 3.22
Sb 0.5000 0.5000 0.5000  4 Sb 3.22, 4 Pb 3.22
Sb 0.7500 0.7500 0.7500  4 Sb 3.22, 4 Si 3.22
Pb 0.2500 0.2500 0.2500  4 Sb 3.22, 4 Si 3.22

Results
formation energy from raw total energies = 1.85 eV/f.u.
crystal system = cubic
symmetry = F-43m, No. 216
E_tot = -15.53 eV/cell
distance to the lowest polymorph of the same formula = 274 meV per atom

6.
Below is crystalline SiSbPb2 at its relaxed geometry, with properties calculated at the PBE-GGA level.

Cell lengths 5.3173, 5.3173, 5.3173 Å; angles 60.00, 60.00, 60.00 degrees
Last column: nearest neighbours and their distance in Å.
Fractional positions:
Si 0.0000 0.0000 0.0000  4 Sb 3.26, 4 Pb 3.26
Sb 0.7500 0.7500 0.7500  4 Si 3.26, 4 Pb 3.26
Pb 0.2500 0.2500 0.2500  4 Pb 3.26, 4 Si 3.26
Pb 0.5000 0.5000 0.5000  4 Sb 3.26, 4 Pb 3.26

Results
formation energy from raw total energies = 1.48 eV/f.u.
crystal system = cubic
symmetry = F-43m, No. 216
E_tot = -15.48 eV/cell
distance to the lowest polymorph of the same formula = 170 meV per atom

7.
Below is crystalline SiSbPb2 at its relaxed geometry, with properties calculated at the PBE-GGA level.

Cell lengths 6.1114, 6.1114, 6.1114 Å; angles 135.72, 135.72, 64.41 degrees
Last column: nearest neighbours and their distance in Å.
Fractional positions:
Si 0.0000 0.0000 0.0000  8 Pb 3.26-3.46, 4 Sb 3.46
Sb 0.7500 0.2500 0.5000  8 Pb 3.26-3.46, 4 Si 3.46
Pb 0.2500 0.7500 0.5000  4 Sb 3.26, 4 Pb 3.46, 4 Si 3.46
Pb 0.5000 0.5000 0.0000  4 Si 3.26, 4 Pb 3.46, 4 Sb 3.46

Results
formation energy from raw total energies = 1.51 eV/f.u.
crystal system = tetragonal
symmetry = I-4m2, No. 119
E_tot = -15.46 eV/cell
distance to the lowest polymorph of the same formula = 177 meV per atom

8.
Below is crystalline SiSb3Pb at its relaxed geometry, with properties calculated at the PBE-GGA level.

Cell lengths 5.2813, 5.2813, 5.2813 Å; angles 90.00, 90.00, 90.00 degrees
Last column: nearest neighbours and their distance in Å.
Fractional positions:
Si 0.0000 0.0000 0.0000  6 Sb 2.64
Sb 0.0000 0.0000 0.5000  2 Si 2.64
Sb 0.0000 0.5000 0.0000  2 Si 2.64
Sb 0.5000 0.0000 0.0000  2 Si 2.64
Pb 0.5000 0.5000 0.5000  12 Sb 3.73

Results
formation energy from raw total energies = 2.33 eV/f.u.
crystal system = cubic
symmetry = Pm-3m, No. 221
E_tot = -19.17 eV/cell
distance to the lowest polymorph of the same formula = 0 meV per atom

9.
Below is crystalline SiSb2Pb at its relaxed geometry, with properties calculated at the PBE-GGA level.

Cell lengths 5.9527, 5.9527, 5.9527 Å; angles 134.66, 134.66, 66.05 degrees
Last column: nearest neighbours and their distance in Å.
Fractional positions:
Si 0.0000 0.0000 0.0000  4 Pb 3.24, 8 Sb 3.39
Sb 0.2500 0.7500 0.5000  4 Sb 3.24, 4 Pb 3.39, 4 Si 3.39
Sb 0.7500 0.2500 0.5000  4 Sb 3.24, 4 Pb 3.39, 4 Si 3.39
Pb 0.5000 0.5000 0.0000  4 Si 3.24, 8 Sb 3.39

Results
formation energy from raw total energies = 1.73 eV/f.u.
crystal system = tetragonal
symmetry = I4/mmm, No. 139
E_tot = -15.65 eV/cell
distance to the lowest polymorph of the same formula = 244 meV per atom

10.
Below is crystalline SiSb2Pb at its relaxed geometry, with properties calculated at the PBE-GGA level.

Cell lengths 8.1592, 8.1592, 8.1592 Å; angles 28.39, 28.39, 28.39 degrees
Last column: nearest neighbours and their distance in Å.
Fractional positions:
Si 0.0000 0.0000 0.0000  6 Sb 2.79-2.81
Sb 0.4002 0.4002 0.4002  3 Si 2.79
Sb 0.5988 0.5988 0.5988  3 Si 2.81
Pb 0.8324 0.8324 0.8324  6 Sb 3.28-3.29

Results
formation energy from raw total energies = 0.75 eV/f.u.
crystal system = trigonal
symmetry = R3m, No. 160
E_tot = -16.62 eV/cell
distance to the lowest polymorph of the same formula = 0 meV per atom

11.
Below is crystalline SiSb3Pb at its relaxed geometry, with properties calculated at the PBE-GGA level.

Cell lengths 5.7201, 5.7201, 5.7201 Å; angles 90.00, 90.00, 90.00 degrees
Last column: nearest neighbours and their distance in Å.
Fractional positions:
Si 0.0000 0.0000 0.0000  12 Sb 4.04
Sb 0.0000 0.5000 0.5000  2 Pb 2.86
Sb 0.5000 0.0000 0.5000  2 Pb 2.86
Sb 0.5000 0.5000 0.0000  2 Pb 2.86
Pb 0.5000 0.5000 0.5000  6 Sb 2.86

Results
formation energy from raw total energies = 6.63 eV/f.u.
crystal system = cubic
symmetry = Pm-3m, No. 221
E_tot = -14.87 eV/cell
distance to the lowest polymorph of the same formula = 860 meV per atom

12.
Below is crystalline SiSbPb3 at its relaxed geometry, with properties calculated at the PBE-GGA level.

Cell lengths 5.8487, 5.8487, 5.8487 Å; angles 90.00, 90.00, 90.00 degrees
Last column: nearest neighbours and their distance in Å.
Fractional positions:
Si 0.0000 0.0000 0.0000  12 Pb 4.14
Sb 0.5000 0.5000 0.5000  6 Pb 2.92
Pb 0.0000 0.5000 0.5000  2 Sb 2.92
Pb 0.5000 0.0000 0.5000  2 Sb 2.92
Pb 0.5000 0.5000 0.0000  2 Sb 2.92

Results
formation energy from raw total energies = 4.82 eV/f.u.
crystal system = cubic
symmetry = Pm-3m, No. 221
E_tot = -15.85 eV/cell
distance to the lowest polymorph of the same formula = 509 meV per atom

13.
Below is crystalline SiSb2PbW at its relaxed geometry, with properties calculated at the PBE-GGA level.

Cell lengths 5.3737, 5.3737, 4.7543 Å; angles 90.00, 90.00, 90.00 degrees
Last column: nearest neighbours and their distance in Å.
Fractional positions:
Si 0.0000 0.0000 0.0000  2 W 2.38
Sb 0.0000 0.5000 0.5000  2 W 2.69
Sb 0.5000 0.0000 0.5000  2 W 2.69
Pb 0.5000 0.5000 0.0000  8 Sb 3.59, 4 Si 3.80
W 0.0000 0.0000 0.5000  2 Si 2.38

Results
formation energy from raw total energies = 2.95 eV/f.u.
crystal system = tetragonal
symmetry = P4/mmm, No. 123
E_tot = -27.38 eV/cell

14.
Below is crystalline Sm8SbPb5 at its relaxed geometry, with properties calculated at the PBE-GGA level.

Cell lengths 8.2805, 8.2805, 8.2805 Å; angles 109.46, 109.46, 109.49 degrees
Last column: nearest neighbours and their distance in Å.
Fractional positions:
Sm 0.1243 0.2337 0.7506  5 Pb 3.18-3.45, 1 Sb 3.44
Sm 0.1256 0.7372 0.7527  1 Sb 3.16, 5 Pb 3.17-3.46
Sm 0.2628 0.0156 0.3884  1 Sb 3.16, 5 Pb 3.17-3.46
Sm 0.4831 0.3737 0.2494  5 Pb 3.18-3.45, 1 Sb 3.44
Sm 0.6263 0.8757 0.1094  5 Pb 3.18-3.45, 1 Sb 3.44
Sm 0.6271 0.8744 0.6116  1 Sb 3.16, 5 Pb 3.17-3.46
Sm 0.7663 0.5169 0.8906  5 Pb 3.18-3.45, 1 Sb 3.44
Sm 0.9844 0.3729 0.2473  1 Sb 3.16, 5 Pb 3.17-3.46
Sb 0.0000 0.0000 0.0000  8 Sm 3.16-3.44
Pb 0.2508 0.6261 0.1257  8 Sm 3.17-3.46
Pb 0.3739 0.4996 0.6248  8 Sm 3.17-3.46
Pb 0.5004 0.1251 0.8743  8 Sm 3.17-3.46
Pb 0.7500 0.2500 0.5000  8 Sm 3.18-3.46
Pb 0.8749 0.7492 0.3752  8 Sm 3.17-3.46

Results
formation energy from raw total energies = -9.09 eV/f.u.
crystal system = tetragonal
symmetry = I-4, No. 82
E_tot = -69.51 eV/cell

15.
Below is crystalline Sm3Sb2Pb at its relaxed geometry, with properties calculated at the PBE-GGA level.

Cell lengths 7.8020, 7.8020, 7.6669 Å; angles 99.73, 99.73, 119.42 degrees
Last column: nearest neighbours and their distance in Å.
Fractional positions:
Sm 0.0000 0.5000 0.5000  4 Sb 3.17, 2 Pb 3.19
Sm 0.1547 0.3272 0.0007  4 Sb 3.11-3.17, 2 Pb 3.21-3.24
Sm 0.3272 0.1547 0.5007  4 Sb 3.11-3.17, 2 Pb 3.21-3.24
Sm 0.5000 0.0000 0.0000  4 Sb 3.17, 2 Pb 3.19
Sm 0.6728 0.8453 0.4993  4 Sb 3.11-3.17, 2 Pb 3.21-3.24
Sm 0.8453 0.6728 0.9993  4 Sb 3.11-3.17, 2 Pb 3.21-3.24
Sb 0.0835 0.9165 0.7500  6 Sm 3.11-3.17
Sb 0.2513 0.7487 0.2500  6 Sm 3.13-3.17
Sb 0.7487 0.2513 0.7500  6 Sm 3.13-3.17
Sb 0.9165 0.0835 0.2500  6 Sm 3.11-3.17
Pb 0.4184 0.5816 0.7500  6 Sm 3.19-3.24
Pb 0.5816 0.4184 0.2500  6 Sm 3.19-3.24

Results
formation energy from raw total energies = -5.47 eV/f.u.
crystal system = monoclinic
symmetry = C2/c, No. 15
E_tot = -63.17 eV/cell

16.
Below is crystalline Sm2SbPb at its relaxed geometry, with properties calculated at the PBE-GGA level.

Cell lengths 5.8914, 5.8914, 3.3219 Å; angles 90.00, 90.00, 90.00 degrees
Last column: nearest neighbours and their distance in Å.
Fractional positions:
Sm 0.0000 0.5000 0.0000  2 Sm 3.32, 4 Pb 3.38, 4 Sb 3.38
Sm 0.5000 0.0000 0.0000  2 Sm 3.32, 4 Pb 3.38, 4 Sb 3.38
Sb 0.0000 0.0000 0.5000  2 Sb 3.32, 8 Sm 3.38
Pb 0.5000 0.5000 0.5000  2 Pb 3.32, 8 Sm 3.38

Results
formation energy from raw total energies = -2.67 eV/f.u.
crystal system = tetragonal
symmetry = P4/mmm, No. 123
E_tot = -19.94 eV/cell
distance to the lowest polymorph of the same formula = 196 meV per atom

17.
Below is crystalline Sm3Sb2Pb at its relaxed geometry, with properties calculated at the PBE-GGA level.

Cell lengths 7.8520, 7.8520, 7.8520 Å; angles 147.36, 132.25, 59.04 degrees
Last column: nearest neighbours and their distance in Å.
Fractional positions:
Sm 0.0000 0.0000 0.0000  4 Sb 3.16, 2 Pb 3.18
Sm 0.3272 0.3272 0.0000  4 Sb 3.12-3.18, 2 Pb 3.23
Sm 0.6728 0.6728 0.0000  4 Sb 3.12-3.18, 2 Pb 3.23
Sb 0.1657 0.6657 0.5000  6 Sm 3.12-3.18
Sb 0.8343 0.3343 0.5000  6 Sm 3.12-3.18
Pb 0.5000 0.0000 0.5000  6 Sm 3.18-3.23

Results
formation energy from raw total energies = -5.48 eV/f.u.
crystal system = orthorhombic
symmetry = Immm, No. 71
E_tot = -31.59 eV/cell

18.
Below is crystalline SmSbPb2 at its relaxed geometry, with properties calculated at the PBE-GGA level.

Cell lengths 11.8337, 11.8337, 11.8337 Å; angles 17.42, 17.42, 17.42 degrees
Last column: nearest neighbours and their distance in Å.
Fractional positions:
Sm 0.0000 0.0000 0.0000  2 Pb 3.22, 6 Sm 3.58
Sb 0.5000 0.5000 0.5000  6 Pb 3.33, 6 Sb 3.58
Pb 0.0922 0.0922 0.0922  1 Sm 3.22, 3 Sb 3.33, 6 Pb 3.58
Pb 0.9078 0.9078 0.9078  1 Sm 3.22, 3 Sb 3.33, 6 Pb 3.58

Results
formation energy from raw total energies = 0.72 eV/f.u.
crystal system = trigonal
symmetry = R-3m, No. 166
E_tot = -15.54 eV/cell
distance to the lowest polymorph of the same formula = 581 meV per atom

19.
Below is crystalline Sm6Sb5Pb at its relaxed geometry, with properties calculated at the PBE-GGA level.

Cell lengths 7.7691, 7.7691, 7.7425 Å; angles 99.65, 99.65, 120.06 degrees
Last column: nearest neighbours and their distance in Å.
Fractional positions:
Sm 0.0784 0.4163 0.7485  5 Sb 3.14-3.18, 1 Pb 3.20
Sm 0.2461 0.2461 0.2518  5 Sb 3.13-3.17, 1 Pb 3.20
Sm 0.4163 0.0784 0.7485  5 Sb 3.14-3.18, 1 Pb 3.20
Sm 0.5837 0.9216 0.2515  5 Sb 3.14-3.18, 1 Pb 3.20
Sm 0.7539 0.7539 0.7482  5 Sb 3.13-3.17, 1 Pb 3.20
Sm 0.9216 0.5837 0.2515  5 Sb 3.14-3.18, 1 Pb 3.20
Sb 0.0000 0.0000 0.5000  6 Sm 3.13-3.18
Sb 0.1666 0.8334 0.0000  6 Sm 3.16
Sb 0.3339 0.6661 0.5000  6 Sm 3.14-3.18
Sb 0.6661 0.3339 0.5000  6 Sm 3.14-3.18
Sb 0.8334 0.1666 0.0000  6 Sm 3.16
Pb 0.5000 0.5000 0.0000  6 Sm 3.20

Results
formation energy from raw total energies = -12.48 eV/f.u.
crystal system = monoclinic
symmetry = C2/m, No. 12
E_tot = -65.12 eV/cell

20.
Below is crystalline Sm2SbPb at its relaxed geometry, with properties calculated at the PBE-GGA level.

Cell lengths 4.3420, 4.3420, 8.2674 Å; angles 105.26, 105.26, 60.05 degrees
Last column: nearest neighbours and their distance in Å.
Fractional positions:
Sm 0.2455 0.2455 0.2363  3 Sb 3.12, 3 Pb 3.26
Sm 0.7545 0.7545 0.7637  3 Sb 3.12, 3 Pb 3.26
Sb 0.5000 0.5000 0.0000  6 Sm 3.12
Pb 0.0000 0.0000 0.5000  6 Sm 3.26

Results
formation energy from raw total energies = -3.19 eV/f.u.
crystal system = monoclinic
symmetry = C2/m, No. 12
E_tot = -20.46 eV/cell
distance to the lowest polymorph of the same formula = 65 meV per atom